No. 1
This record from the Alexandria database describes Sc3Ta at its PBEsol-relaxed geometry. The functional is SCAN.

Lattice parameters (Å, degrees): 4.942 5.471 6.228 90.00 90.00 90.00
Element x y z (fractional)
Sc (0.500, 0.352, 0.000)
Sc (0.000, 0.166, 0.751)
Sc (0.500, 0.834, 0.749)
Sc (0.000, 0.648, 0.500)
Sc (0.000, 0.166, 0.249)
Sc (0.500, 0.834, 0.251)
Ta (0.000, 0.673, 0.000)
Ta (0.500, 0.327, 0.500)

Properties
energy of formation: 0.146 eV/atom
relative energy among the computed polymorphs: 0.000 eV/atom
V: 21.05 Å³/atom
symmetry: Pmmn, No. 59

No. 2
This record from the Alexandria database describes Ca2TlSb2 at its PBEsol-relaxed geometry. The functional is SCAN.

Lattice parameters (Å, degrees): 5.349 5.349 7.003 112.45 112.45 90.00
Element x y z (fractional)
Sb (0.379, 0.379, 0.758)
Sb (0.621, 0.621, 0.242)
Tl (0.000, 0.000, 0.000)
Ca (0.250, 0.750, 0.500)
Ca (0.750, 0.250, 0.500)

Properties
relative energy among the computed polymorphs: 0.178 eV/atom
V: 33.73 Å³/atom
symmetry: I4/mmm, No. 139

No. 3
This record from the Alexandria database describes BeZn2Cl at its PBEsol-relaxed geometry. The functional is SCAN.

Lattice parameters (Å, degrees): 3.028 5.014 5.014 64.56 72.43 72.43
Element x y z (fractional)
Be (0.500, 0.000, 0.000)
Zn (0.228, 0.772, 0.772)
Zn (0.772, 0.228, 0.228)
Cl (0.000, 0.500, 0.500)

Properties
energy: -38.4 eV per cell
V: 16.05 Å³/atom
symmetry: Immm, No. 71

No. 4
This record from the Alexandria database describes Sc3Rh4 at its PBEsol-relaxed geometry. The functional is SCAN.

Lattice parameters (Å, degrees): 5.471 7.039 7.039 113.54 105.02 105.02
Element x y z (fractional)
Rh (0.500, 0.000, 0.000)
Rh (0.000, 0.000, 0.000)
Rh (0.069, 0.441, 0.293)
Rh (0.628, 0.852, 0.559)
Rh (0.776, 0.707, 0.148)
Rh (0.931, 0.559, 0.707)
Rh (0.372, 0.148, 0.441)
Rh (0.224, 0.293, 0.852)
Sc (0.874, 0.139, 0.409)
Sc (0.735, 0.270, 0.861)
Sc (0.465, 0.591, 0.730)
Sc (0.126, 0.861, 0.591)
Sc (0.265, 0.730, 0.139)
Sc (0.535, 0.409, 0.270)

Properties
energy of formation: -0.991 eV/atom
V: 15.64 Å³/atom
symmetry: R-3, No. 148